Here is an optimized crystal structure of Ba2TmTlSe5 from the Alexandria database. Energies are from PBE.

Output
raw total energy = -4.638 eV per atom
total magnetization = 0.0 μB/f.u.
uncorrected formation energy = -1.52 eV/atom

Lattice parameters (Å, degrees): 9.8031 9.8031 13.4969 90.00 90.00 154.61
Fractional coordinates of all 18 atoms:
Ba  0.1201  0.8799  0.5000
Ba  0.1365  0.8635  0.1302
Ba  0.8635  0.1365  0.6302
Ba  0.8799  0.1201  0.0000
Tm  0.2106  0.7894  0.8328
Tm  0.7894  0.2106  0.3328
Tl  0.4536  0.5464  0.2577
Tl  0.5464  0.4536  0.7577
Se  0.0544  0.9456  0.8778
Se  0.2915  0.7085  0.4702
Se  0.3114  0.6886  0.1883
Se  0.3538  0.6462  0.8183
Se  0.4933  0.5067  0.5797
Se  0.5067  0.4933  0.0797
Se  0.6462  0.3538  0.3183
Se  0.6886  0.3114  0.6883
Se  0.7085  0.2915  0.9702
Se  0.9456  0.0544  0.3778

Here is an optimized crystal structure of BaUTl2Se4 from the Alexandria database. Energies are from PBE.

Output
raw total energy = -5.075 eV per atom
total magnetization = 2.0 μB/f.u.
uncorrected formation energy = -1.09 eV/atom

Lattice parameters (Å, degrees): 7.8580 4.4092 8.0749 90.00 108.47 90.00
Fractional coordinates of all 8 atoms:
Ba  0.0000  0.0000  0.0000
U  0.5000  0.5000  0.0000
Tl  0.0000  0.5000  0.5000
Tl  0.5000  0.0000  0.5000
Se  0.2820  0.5000  0.2153
Se  0.2945  0.0000  0.7932
Se  0.7055  0.0000  0.2068
Se  0.7180  0.5000  0.7847

Here is an optimized crystal structure of BaUTlSe4 from the Alexandria database. Energies are from PBE.

Output
raw total energy = -5.404 eV per atom
total magnetization = 1.0 μB/f.u.
uncorrected formation energy = -1.19 eV/atom

Lattice parameters (Å, degrees): 5.4526 5.4526 16.3669 90.00 90.00 90.00
Fractional coordinates of all 14 atoms:
Ba  0.0000  0.0000  0.0000
Ba  0.5000  0.5000  0.5000
U  0.0000  0.0000  0.6400
U  0.5000  0.5000  0.1400
Tl  0.0000  0.0000  0.2825
Tl  0.5000  0.5000  0.7825
Se  0.0000  0.0000  0.4738
Se  0.0000  0.0000  0.8024
Se  0.0000  0.5000  0.1329
Se  0.0000  0.5000  0.6329
Se  0.5000  0.0000  0.1329
Se  0.5000  0.0000  0.6329
Se  0.5000  0.5000  0.3024
Se  0.5000  0.5000  0.9738

Here is an optimized crystal structure of Ba2UTlSe5 from the Alexandria database. Energies are from PBE.

Output
raw total energy = -5.247 eV per atom
total magnetization = 1.0 μB/f.u.
uncorrected formation energy = -1.37 eV/atom

Lattice parameters (Å, degrees): 9.1110 9.1110 9.1110 145.71 128.88 63.00
Fractional coordinates of all 9 atoms:
Ba  0.2099  0.2099  0.0000
Ba  0.7901  0.7901  0.0000
U  0.0000  0.5000  0.5000
Tl  0.5000  0.0000  0.5000
Se  0.0000  0.0000  0.0000
Se  0.1082  0.3702  0.7380
Se  0.3678  0.6298  0.7380
Se  0.6322  0.3702  0.2620
Se  0.8918  0.6298  0.2620

Here is an optimized crystal structure of Ba2UTl3Se6 from the Alexandria database. Energies are from PBE.

Output
raw total energy = -4.791 eV per atom
total magnetization = 1.0 μB/f.u.
uncorrected formation energy = -1.20 eV/atom

Lattice parameters (Å, degrees): 7.9385 7.9385 7.9788 99.40 99.40 119.90
Fractional coordinates of all 12 atoms:
Ba  0.1671  0.8329  0.0000
Ba  0.8329  0.1671  0.0000
U  0.5000  0.5000  0.0000
Tl  0.0000  0.0000  0.5000
Tl  0.3400  0.6600  0.5000
Tl  0.6600  0.3400  0.5000
Se  0.1442  0.4279  0.7874
Se  0.2859  0.2859  0.2213
Se  0.4279  0.1442  0.7874
Se  0.5721  0.8558  0.2126
Se  0.7141  0.7141  0.7787
Se  0.8558  0.5721  0.2126

Here is an optimized crystal structure of Ba2TlZnSe5 from the Alexandria database. Energies are from PBE.

Output
raw total energy = -3.787 eV per atom
total magnetization = 0.0 μB/f.u.
uncorrected formation energy = -1.02 eV/atom

Lattice parameters (Å, degrees): 10.1212 10.1212 12.5526 90.00 90.00 155.01
Fractional coordinates of all 18 atoms:
Ba  0.1095  0.8905  0.5000
Ba  0.1220  0.8780  0.1110
Ba  0.8780  0.1220  0.6110
Ba  0.8905  0.1095  0.0000
Tl  0.2255  0.7745  0.8309
Tl  0.7745  0.2255  0.3309
Zn  0.4262  0.5738  0.2374
Zn  0.5738  0.4262  0.7374
Se  0.0783  0.9217  0.8373
Se  0.2753  0.7247  0.4871
Se  0.2986  0.7014  0.1715
Se  0.3624  0.6376  0.8077
Se  0.4999  0.5001  0.0831
Se  0.5001  0.4999  0.5831
Se  0.6376  0.3624  0.3077
Se  0.7014  0.2986  0.6715
Se  0.7247  0.2753  0.9871
Se  0.9217  0.0783  0.3373

Q: Which of these has the highest total magnetization?
A: BaUTl2Se4

Q: Look up the raw total energy of the sixth one.
A: -3.787 eV per atom